The following is a PBE calculation of a relaxed structure of ZnBi2Pd6, from Alexandria via LeMat-Bulk.

Unit cell a=5.680 b=5.680 c=6.040 alpha=99.12 beta=99.12 gamma=59.20
Fractional positions:
Zn  0.000  0.000  0.000
Bi  0.336  0.336  0.826
Bi  0.664  0.664  0.174
Pd  0.177  0.660  0.289
Pd  0.181  0.181  0.369
Pd  0.340  0.823  0.711
Pd  0.660  0.177  0.289
Pd  0.819  0.819  0.631
Pd  0.823  0.340  0.711

## Properties
Density in g cm⁻³: 11.32
Formation energy from the elements in eV/f.u.: -2.0
Size of the total moment in μB/f.u.: 0.000